[1]
In5Bi2Te: optimized geometry, PBE.

Values from the calculation:
* V: 242 Å³ per cell
* N(E_F): 2.9 states/eV per cell
* E_form (uncorrected): -0.043 eV/atom

Cell lengths 6.7143, 6.7570, 7.0095 Å; angles 104.28, 103.93, 119.46 degrees
Last column: nearest neighbours and their distance in Å.
Space group P1 (No. 1)
Inequivalent atoms, fractional coordinates:
In 0.0000 0.0000 0.0000 (multiplicity 1)  1 Te 3.11, 2 In 3.11-3.26, 2 Bi 3.19
In 0.0093 0.5449 0.0030 (multiplicity 1)  1 Te 3.06, 4 In 3.11-3.21
In 0.3871 0.8622 0.4968 (multiplicity 1)  1 Te 3.12, 3 In 3.13-3.41, 4 Bi 3.28-3.44
In 0.4612 0.4978 0.0004 (multiplicity 1)  2 Bi 3.17, 4 In 3.21-3.54, 1 Te 3.32
In 0.8908 0.3662 0.5077 (multiplicity 1)  1 Te 3.12, 3 In 3.13-3.41, 4 Bi 3.27-3.44
Bi 0.3691 0.3493 0.5057 (multiplicity 1)  6 In 3.17-3.44, 2 Bi 3.39-3.40
Bi 0.8651 0.8425 0.4944 (multiplicity 1)  6 In 3.17-3.44, 2 Bi 3.39-3.40
Te 0.5797 0.0761 0.0017 (multiplicity 1)  5 In 3.06-3.32

---

[2]
ScNiW2: optimized geometry, PBE.

Values from the calculation:
* V: 193 Å³ per cell
* N(E_F): 11.9 states/eV per cell
* ΔE_f: 0.324 eV/atom

Cell lengths 2.8589, 2.8589, 27.2991 Å; angles 90.00, 90.00, 120.00 degrees
Last column: nearest neighbours and their distance in Å.
Space group R3m (No. 160, hexagonal axes)
Inequivalent atoms, fractional coordinates:
Sc 0.0000 0.0000 0.0000 (multiplicity 3)  3 Ni 2.73, 6 Sc 2.86, 3 W 2.99
Ni 0.0000 0.0000 0.2537 (multiplicity 3)  3 W 2.62, 3 Sc 2.73, 6 Ni 2.86
W 0.0000 0.0000 0.5127 (multiplicity 3)  3 Ni 2.62, 9 W 2.86-2.92
W 0.0000 0.0000 0.7580 (multiplicity 3)  9 W 2.86-2.92, 3 Sc 2.99

---

[3]
KFeCo: optimized geometry, PBE.

Values from the calculation:
* V: 281 Å³ per cell
* N(E_F): 11.2 states/eV per cell
* ΔE_f: 0.795 eV/atom

Cell lengths 8.3418, 3.0726, 10.9467 Å; angles 90.00, 90.00, 90.00 degrees
Last column: nearest neighbours and their distance in Å.
Space group Pnma (No. 62)
Inequivalent atoms, fractional coordinates:
K 0.0496 0.2500 0.1671 (multiplicity 4)  2 K 3.07, 2 Co 3.41
Fe 0.0919 0.2500 0.5628 (multiplicity 4)  3 Co 2.29-2.31
Co 0.1851 0.7500 0.4253 (multiplicity 4)  3 Fe 2.29-2.31

---

[4]
TmSc3Ni8: optimized geometry, PBE.

Values from the calculation:
* V: 169 Å³ per cell
* N(E_F): 9.0 states/eV per cell
* ΔE_f: -0.498 eV/atom

Cell lengths 4.9356, 4.9356, 8.0244 Å; angles 90.00, 90.00, 120.00 degrees
Last column: nearest neighbours and their distance in Å.
Space group P3m1 (No. 156)
Inequivalent atoms, fractional coordinates:
Tm 0.0000 0.0000 0.0000 (multiplicity 1)  12 Ni 2.89-2.92, 4 Sc 3.03-3.05
Sc 0.0000 0.0000 0.3774 (multiplicity 1)  12 Ni 2.83-2.90, 3 Sc 3.00, 1 Tm 3.03
Sc 0.6667 0.3333 0.4953 (multiplicity 1)  12 Ni 2.84-2.89, 4 Sc 2.96-3.00
Sc 0.6667 0.3333 0.8636 (multiplicity 1)  12 Ni 2.87-2.96, 1 Sc 2.96, 3 Tm 3.05
Ni 0.1659 0.3318 0.6822 (multiplicity 3)  6 Ni 2.45-2.48
Ni 0.3333 0.6667 0.4344 (multiplicity 1)  6 Ni 2.45
Ni 0.3333 0.6667 0.9344 (multiplicity 1)  6 Ni 2.48-2.49
Ni 0.5015 0.0030 0.1875 (multiplicity 3)  6 Ni 2.45-2.49

---

| no. | magnetic moment (μB per formula unit) | total DFT energy (no corrections) (eV per atom) |
| --- | --- | --- |
| 1 | 0.000 | -3.12 |
| 2 | 0.000 | -9.18 |
| 3 | 4.752 | -4.76 |
| 4 | 0.000 | -6.31 |